No. 1
First-principles (GGA-PBE) data for a relaxed structure of Hf2MgZrIr4, as listed in Alexandria via LeMat-Bulk.

## Properties
E_form: -0.823 eV/atom
Mass density: 14.86 g/cm3
Space-group type: R-3m, No. 166
VASP energy: -72.1 eV/cell

a = 4.6116 Å, b = 4.6116 Å, c = 7.9878 Å
α = 73.22°, β = 73.22°, γ = 60.00°
Fractional coordinates of all 8 atoms:
Zr 0.0000 0.0000 0.0000
Ir 0.8777 0.8777 0.3670
Hf 0.7548 0.7548 0.7357
Ir 0.3722 0.3722 0.8833
Ir 0.6278 0.6278 0.1167
Ir 0.1223 0.1223 0.6330
Hf 0.2452 0.2452 0.2643
Mg 0.5000 0.5000 0.5000


No. 2
First-principles (GGA-PBE) data for a relaxed structure of Ho2ScCu6, as listed in Alexandria via LeMat-Bulk.

## Properties
E_form: -0.225 eV/atom
Mass density: 8.08 g/cm3
Space-group type: P6/mmm, No. 191
VASP energy: -42.1 eV/cell

a = 3.2909 Å, b = 7.3818 Å, c = 7.3818 Å
α = 120.00°, β = 90.00°, γ = 90.00°
Fractional coordinates of all 9 atoms:
Cu 0.5000 0.0000 0.3300
Ho 0.0000 0.6667 0.3333
Cu 0.5000 0.6700 0.0000
Cu 0.5000 0.6700 0.6700
Cu 0.5000 0.0000 0.6700
Cu 0.5000 0.3300 0.3300
Ho 0.0000 0.3333 0.6667
Sc 0.0000 0.0000 0.0000
Cu 0.5000 0.3300 0.0000


No. 3
First-principles (GGA-PBE) data for a relaxed structure of CsKAg2O2, as listed in Alexandria via LeMat-Bulk.

## Properties
Mass density: 4.19 g/cm3
E_form (uncorrected): -3.2 eV/f.u.
Space-group type: P2_1/m, No. 11
VASP energy: -41.6 eV/cell

a = 7.1254 Å, b = 6.9358 Å, c = 6.7887 Å
α = 97.34°, β = 90.00°, γ = 90.00°
Fractional coordinates of all 12 atoms:
K 0.7500 0.6804 0.0532
O 0.9690 0.7374 0.7638
O 0.4690 0.2626 0.2362
Cs 0.7500 0.0740 0.7279
K 0.2500 0.3196 0.9468
O 0.5310 0.7374 0.7638
O 0.0310 0.2626 0.2362
Ag 0.2500 0.4299 0.4324
Ag 0.7500 0.5701 0.5676
Ag 0.7500 0.2748 0.2579
Ag 0.2500 0.7252 0.7421
Cs 0.2500 0.9260 0.2721


No. 4
First-principles (GGA-PBE) data for a relaxed structure of TbCuNiRh, as listed in Alexandria via LeMat-Bulk.

## Properties
E_form: -0.271 eV/atom
Mass density: 10.01 g/cm3
Space-group type: F-43m, No. 216
VASP energy: -22.9 eV/cell

a = 4.4833 Å, b = 4.4833 Å, c = 4.4833 Å
α = 60.00°, β = 60.00°, γ = 60.00°
Fractional coordinates of all 4 atoms:
Cu 0.2500 0.2500 0.2500
Rh 0.0000 0.0000 0.0000
Tb 0.7500 0.7500 0.7500
Ni 0.5000 0.5000 0.5000


No. 5
First-principles (GGA-PBE) data for a relaxed structure of CaMnPt, as listed in Alexandria via LeMat-Bulk.

## Properties
E_form: 0.450 eV/atom
Mass density: 6.72 g/cm3
Space-group type: F-43m, No. 216
VASP energy: -15.9 eV/cell

a = 4.6618 Å, b = 4.6618 Å, c = 4.6618 Å
α = 60.00°, β = 60.00°, γ = 60.00°
Each line ends with the local moment (μB).
Fractional coordinates of all 3 atoms:
Pt 0.5000 0.5000 0.5000  0.16
Mn 0.0000 0.0000 0.0000  4.17
Ca 0.7500 0.7500 0.7500  0.01


No. 6
First-principles (GGA-PBE) data for a relaxed structure of CaCuRu2, as listed in Alexandria via LeMat-Bulk.

## Properties
E_form: 0.556 eV/atom
Mass density: 6.57 g/cm3
Space-group type: I-42d, No. 122
Polymorph energy (0 for the lowest one): 323 meV/atom
VASP energy: -44.8 eV/cell

a = 4.0473 Å, b = 4.0473 Å, c = 9.8571 Å
α = 78.15°, β = 78.15°, γ = 90.00°
Fractional coordinates of all 8 atoms:
Ru 0.8750 0.2723 0.7500
Ru 0.7277 0.6250 0.2500
Ru 0.3750 0.9777 0.7500
Ru 0.0223 0.1250 0.2500
Ca 0.2500 0.7500 0.5000
Ca 0.5000 0.5000 0.0000
Cu 0.0000 0.0000 0.0000
Cu 0.7500 0.2500 0.5000


No. 7
First-principles (GGA-PBE) data for a relaxed structure of BTe2C, as listed in Alexandria via LeMat-Bulk.

## Properties
Mass density: 7.14 g/cm3
E_form (uncorrected): 8.4 eV/f.u.
Space-group type: Fm-3m, No. 225
Polymorph energy (0 for the lowest one): 686 meV/atom
VASP energy: -13.7 eV/cell

a = 4.5044 Å, b = 4.5044 Å, c = 4.5044 Å
α = 60.00°, β = 60.00°, γ = 60.00°
Fractional coordinates of all 4 atoms:
B 0.0000 0.0000 0.0000
Te 0.2500 0.2500 0.2500
Te 0.7500 0.7500 0.7500
C 0.5000 0.5000 0.5000


No. 8
First-principles (GGA-PBE) data for a relaxed structure of Ba2BeTl2, as listed in Alexandria via LeMat-Bulk.

## Properties
E_form: 0.117 eV/atom
Mass density: 6.93 g/cm3
Space-group type: P4/mbm, No. 127
VASP energy: -23.4 eV/cell

a = 7.6811 Å, b = 7.6811 Å, c = 5.6242 Å
α = 90.00°, β = 90.00°, γ = 90.00°
Fractional coordinates of all 10 atoms:
Ba 0.1636 0.6636 0.5000
Ba 0.6636 0.8364 0.5000
Be 0.0000 0.0000 0.0000
Tl 0.8484 0.6516 0.0000
Ba 0.8364 0.3364 0.5000
Ba 0.3364 0.1636 0.5000
Tl 0.3484 0.8484 0.0000
Be 0.5000 0.5000 0.0000
Tl 0.6516 0.1516 0.0000
Tl 0.1516 0.3484 0.0000